Entry from the Alexandria database: Tb6ZnHg after structural relaxation (PBE).

```
8
Lattice="4.881 0.000 1.470 -0.443 4.860 1.470 -0.188 -0.207 9.464" Properties=species:S:1:pos:R:3 pbc="T T T"
Tb 3.237 3.545 6.928
Tb 2.773 0.364 8.469
Tb 0.111 2.794 8.469
Tb 1.477 4.290 3.935
Tb 1.013 1.109 5.475
Tb 4.138 1.860 3.935
Zn 0.000 0.000 0.000
Hg 2.219 2.430 1.470
```

Summary:
Final energy: -3.855 eV per atom